# PBE-GGA Ac12Ni3Ir5, optimized geometry
data_Ac12Ni3Ir5
_space_group_name_H-M_alt 'P 1'
_space_group_IT_number 1
_cell_length_a 15.487
_cell_length_b 15.487
_cell_length_c 15.487
_cell_angle_alpha 109.47
_cell_angle_beta 109.47
_cell_angle_gamma 109.47
loop_
_space_group_symop_operation_xyz
'x,y,z'
loop_
_atom_site_label
_atom_site_fract_x
_atom_site_fract_y
_atom_site_fract_z
Ac1 0.040 0.216 0.127
Ac2 0.040 0.324 0.913
Ac3 0.087 0.627 0.411
Ac4 0.087 0.960 0.676
Ac5 0.089 0.716 0.676
Ac6 0.089 0.873 0.413
Ac7 0.127 0.040 0.216
Ac8 0.127 0.587 0.911
Ac9 0.176 0.216 0.589
Ac10 0.176 0.460 0.587
Ac11 0.216 0.127 0.040
Ac12 0.216 0.589 0.176
Ac13 0.284 0.324 0.911
Ac14 0.284 0.460 0.373
Ac15 0.324 0.911 0.284
Ac16 0.324 0.913 0.040
Ac17 0.373 0.284 0.460
Ac18 0.373 0.589 0.913
Ac19 0.411 0.087 0.627
Ac20 0.411 0.824 0.784
Ac21 0.413 0.089 0.873
Ac22 0.413 0.824 0.540
Ac23 0.460 0.373 0.284
Ac24 0.460 0.587 0.176
Ac25 0.540 0.413 0.824
Ac26 0.540 0.627 0.716
Ac27 0.587 0.176 0.460
Ac28 0.587 0.911 0.127
Ac29 0.589 0.176 0.216
Ac30 0.589 0.913 0.373
Ac31 0.627 0.411 0.087
Ac32 0.627 0.716 0.540
Ac33 0.676 0.087 0.960
Ac34 0.676 0.089 0.716
Ac35 0.716 0.540 0.627
Ac36 0.716 0.676 0.089
Ac37 0.784 0.411 0.824
Ac38 0.784 0.873 0.960
Ac39 0.824 0.540 0.413
Ac40 0.824 0.784 0.411
Ac41 0.873 0.413 0.089
Ac42 0.873 0.960 0.784
Ac43 0.911 0.127 0.587
Ac44 0.911 0.284 0.324
Ac45 0.913 0.040 0.324
Ac46 0.913 0.373 0.589
Ac47 0.960 0.676 0.087
Ac48 0.960 0.784 0.873
Ni1 0.125 0.250 0.375
Ni2 0.125 0.375 0.750
Ni3 0.250 0.375 0.125
Ni4 0.250 0.875 0.625
Ni5 0.375 0.125 0.250
Ni6 0.375 0.750 0.125
Ni7 0.625 0.250 0.875
Ni8 0.625 0.875 0.750
Ni9 0.750 0.125 0.375
Ni10 0.750 0.625 0.875
Ni11 0.875 0.625 0.250
Ni12 0.875 0.750 0.625
Ir1 0.000 0.000 0.000
Ir2 0.000 0.000 0.500
Ir3 0.000 0.500 0.000
Ir4 0.000 0.500 0.500
Ir5 0.125 0.750 0.875
Ir6 0.125 0.875 0.250
Ir7 0.250 0.125 0.875
Ir8 0.250 0.625 0.375
Ir9 0.375 0.250 0.625
Ir10 0.375 0.625 0.750
Ir11 0.500 0.000 0.000
Ir12 0.500 0.000 0.500
Ir13 0.500 0.500 0.000
Ir14 0.500 0.500 0.500
Ir15 0.625 0.375 0.250
Ir16 0.625 0.750 0.375
Ir17 0.750 0.375 0.625
Ir18 0.750 0.875 0.125
Ir19 0.875 0.125 0.750
Ir20 0.875 0.250 0.125
# E_tot	-456.94	eV/cell
# energy of formation	-3.284	eV/f.u.

---

# PBE-GGA Ac6NiIr, optimized geometry
data_Ac6NiIr
_space_group_name_H-M_alt 'P 1'
_space_group_IT_number 1
_cell_length_a 8.097
_cell_length_b 8.097
_cell_length_c 8.097
_cell_angle_alpha 53.42
_cell_angle_beta 53.42
_cell_angle_gamma 53.42
loop_
_space_group_symop_operation_xyz
'x,y,z'
loop_
_atom_site_label
_atom_site_fract_x
_atom_site_fract_y
_atom_site_fract_z
Ac1 0.086 0.413 0.748
Ac2 0.252 0.914 0.587
Ac3 0.413 0.748 0.086
Ac4 0.587 0.252 0.914
Ac5 0.748 0.086 0.413
Ac6 0.914 0.587 0.252
Ni1 0.000 0.000 0.000
Ir1 0.500 0.500 0.500
# E_tot	-41.38	eV/cell
# energy of formation	-2.088	eV/f.u.

---

# PBE-GGA Ac8NiIr2, optimized geometry
data_Ac8NiIr2
_space_group_name_H-M_alt 'P 1'
_space_group_IT_number 1
_cell_length_a 8.137
_cell_length_b 8.137
_cell_length_c 7.077
_cell_angle_alpha 107.12
_cell_angle_beta 107.12
_cell_angle_gamma 69.18
loop_
_space_group_symop_operation_xyz
'x,y,z'
loop_
_atom_site_label
_atom_site_fract_x
_atom_site_fract_y
_atom_site_fract_z
Ac1 0.111 0.111 0.245
Ac2 0.169 0.579 0.247
Ac3 0.352 0.352 0.749
Ac4 0.421 0.831 0.753
Ac5 0.579 0.169 0.247
Ac6 0.648 0.648 0.251
Ac7 0.831 0.421 0.753
Ac8 0.889 0.889 0.755
Ni1 0.000 0.000 0.500
Ir1 0.165 0.165 0.870
Ir2 0.835 0.835 0.130
# E_tot	-59.01	eV/cell
# energy of formation	-2.644	eV/f.u.